(1)
The following is a DFT calculation (PBE) of ScHg2W after structural relaxation.

Values from the calculation:
- D(E_F) (states/eV per cell) = 2.91
- DFT formation energy (eV/atom) = 0.451

abc: 4.8112 4.8112 4.8112
angles: 60.00 60.00 60.00
With the nearest neighbours (Å) after each atom.
Sites, in units of the cell vectors:
Sc 0.0000 0.0000 0.0000  8 Hg 2.95
W 0.5000 0.5000 0.5000  8 Hg 2.95
Hg 0.7500 0.7500 0.7500  4 W 2.95, 4 Sc 2.95
Hg 0.2500 0.2500 0.2500  4 W 2.95, 4 Sc 2.95

***

(2)
The following is a DFT calculation (PBE) of ScHg4W after structural relaxation.

Values from the calculation:
- D(E_F) (states/eV per cell) = 6.39
- DFT formation energy (eV/atom) = 0.650

abc: 5.6560 5.6560 5.6560
angles: 60.00 60.00 60.00
With the nearest neighbours (Å) after each atom.
Sites, in units of the cell vectors:
Hg 0.3747 0.3747 0.3747  6 Hg 2.82-2.83
Hg 0.3747 0.3747 0.8759  6 Hg 2.82-2.83
Hg 0.3747 0.8759 0.3747  6 Hg 2.82-2.83
Hg 0.8759 0.3747 0.3747  6 Hg 2.82-2.83
W 0.0000 0.0000 0.0000  12 Hg 3.32, 4 Sc 3.46
Sc 0.7500 0.7500 0.7500  12 Hg 3.32, 4 W 3.46

***

(3)
The following is a DFT calculation (PBE) of ScHg2W after structural relaxation.

Values from the calculation:
- D(E_F) (states/eV per cell) = 1.06
- DFT formation energy (eV/atom) = 0.321

abc: 9.7704 9.7704 9.7704
angles: 18.49 18.49 18.49
With the nearest neighbours (Å) after each atom.
Sites, in units of the cell vectors:
Hg 0.0038 0.0038 0.0038  3 W 2.98, 9 Hg 3.14-3.15
Hg 0.2476 0.2476 0.2476  3 Sc 3.05, 9 Hg 3.14-3.15
Sc 0.4960 0.4960 0.4960  3 W 2.86, 3 Hg 3.05, 6 Sc 3.14
W 0.7526 0.7526 0.7526  3 Sc 2.86, 3 Hg 2.98, 6 W 3.14